VASP calculation (PBE) on a geometry-optimized Rb3SiH6 structure.

Geometry as POSCAR:
```
Rb3SiH6
1.0
6.029 -0.069 0.000
-1.005 5.945 0.000
-2.512 -2.938 5.385
H Rb Si
6 3 1
Direct
0.743 0.743 0.785
0.958 0.958 0.215
0.257 0.257 0.215
0.042 0.042 0.785
0.820 0.180 0.000
0.180 0.820 0.000
0.500 0.500 0.000
0.750 0.250 0.500
0.250 0.750 0.500
0.000 0.000 0.000
```

Output
As for the density of states at the Fermi level: 1.9 states/eV per cell. For the polymorph energy (0 for the lowest one), the calculation gives 14.6 meV per atom. As for the symmetry: Fmmm (69).

---

VASP calculation (PBE) on a geometry-optimized Rb2SiH4 structure.

Geometry as POSCAR:
```
Rb2SiH4
1.0
4.682 0.000 0.000
0.000 8.056 -3.645
0.000 -2.943 9.298
Si H Rb
2 8 4
Direct
0.750 0.234 0.242
0.250 0.766 0.758
0.991 0.385 0.301
0.250 0.749 0.251
0.009 0.615 0.699
0.509 0.385 0.301
0.250 0.868 0.962
0.491 0.615 0.699
0.750 0.251 0.749
0.750 0.132 0.038
0.250 0.291 0.981
0.750 0.793 0.495
0.750 0.709 0.019
0.250 0.207 0.505
```

Output
As for the density of states at the Fermi level: 0.0 states/eV per cell. As for the symmetry: P2_1/m (11).

---

VASP calculation (PBE) on a geometry-optimized Rb3SiH6 structure.

Geometry as POSCAR:
```
Rb3SiH6
1.0
5.532 -0.011 -3.179
-3.675 5.215 -0.024
-0.007 0.012 6.383
H Si Rb
6 1 3
Direct
0.000 0.816 0.183
0.634 0.817 0.817
0.366 0.183 0.183
0.999 0.817 0.816
0.001 0.183 0.184
0.000 0.184 0.817
0.000 0.000 0.000
0.500 0.750 0.250
0.000 0.500 0.500
0.500 0.250 0.750
```

Output
As for the density of states at the Fermi level: 2.0 states/eV per cell. For the polymorph energy (0 for the lowest one), the calculation gives 0.0 meV per atom. As for the symmetry: C2/m (12).

---

VASP calculation (PBE) on a geometry-optimized RbSi3H12 structure.

Geometry as POSCAR:
```
RbSi3H12
1.0
-2.547 -3.888 -7.126
5.642 -4.147 -4.833
-0.159 -8.491 -0.389
H Si Rb
24 6 2
Direct
0.983 0.368 0.009
0.714 0.544 0.838
0.640 0.983 0.009
0.197 0.532 0.923
0.861 0.088 0.676
0.348 0.197 0.923
0.140 0.868 0.509
0.904 0.714 0.838
0.374 0.861 0.676
0.697 0.848 0.423
0.868 0.483 0.509
0.088 0.374 0.676
0.483 0.140 0.509
0.848 0.032 0.423
0.368 0.640 0.009
0.404 0.044 0.338
0.044 0.214 0.338
0.588 0.361 0.176
0.361 0.874 0.176
0.032 0.697 0.423
0.874 0.588 0.176
0.214 0.404 0.338
0.544 0.904 0.838
0.532 0.348 0.923
0.052 0.491 0.487
0.970 0.052 0.487
0.470 0.991 0.987
0.491 0.970 0.487
0.552 0.470 0.987
0.991 0.552 0.987
0.996 0.996 0.012
0.496 0.496 0.512
```

Output
As for the density of states at the Fermi level: 4.0 states/eV per cell. As for the symmetry: R3c (161).

---

VASP calculation (PBE) on a geometry-optimized RbSiH structure.

Geometry as POSCAR:
```
RbSiH
1.0
-3.753 -2.988 2.539
2.336 -0.158 3.267
-1.159 6.951 1.165
H Si Rb
2 2 2
Direct
0.147 0.750 0.406
0.853 0.250 0.594
0.574 0.250 0.609
0.426 0.750 0.391
0.172 0.750 0.806
0.828 0.250 0.194
```

Output
For the polymorph energy (0 for the lowest one), the calculation gives 1.7 meV per atom. As for the symmetry: P2_1/m (11).

---

VASP calculation (PBE) on a geometry-optimized Rb2SiH6 structure.

Geometry as POSCAR:
```
Rb2SiH6
1.0
5.262 0.000 0.000
0.000 5.262 0.000
0.000 0.000 10.772
H Rb Si
12 4 2
Direct
0.652 0.652 0.393
0.284 0.716 0.500
0.716 0.284 0.500
0.848 0.152 0.107
0.848 0.152 0.893
0.348 0.348 0.607
0.216 0.216 0.000
0.152 0.848 0.893
0.152 0.848 0.107
0.784 0.784 0.000
0.652 0.652 0.607
0.348 0.348 0.393
0.500 0.500 0.835
0.500 0.500 0.165
0.000 0.000 0.665
0.000 0.000 0.335
0.000 0.000 0.000
0.500 0.500 0.500
```

Output
As for the density of states at the Fermi level: 0.0 states/eV per cell. For the polymorph energy (0 for the lowest one), the calculation gives 69.8 meV per atom. As for the symmetry: P4_2/mnm (136).

---

Across the entries above, spin magnetization takes the values 0.0; 0.0; 0.0; 0.0; 0.0; 0.0 μB/f.u., respectively.
Across the entries above, raw total energy takes the values -2.899; -3.105; -2.914; -3.560; -3.336; -3.154 eV per atom, respectively.